# 1
Material: Al3SnS
Method: DFT, PBE
State: optimized geometry

Structure (POSCAR):
```
Al3SnS
1.0
5.267 0.000 0.000
0.000 5.267 0.000
0.000 0.000 5.267
S Sn Al
1 1 3
Direct
0.500 0.500 0.500 S
0.000 0.000 0.000 Sn
0.000 0.500 0.000 Al
0.000 0.000 0.500 Al
0.500 0.000 0.000 Al
```

E above lowest polymorph, meV per atom: 553

***

# 2
Material: Al4SnS8
Method: DFT, PBE
State: optimized geometry

Structure (POSCAR):
```
Al4SnS8
1.0
7.020 0.000 0.000
3.510 6.080 0.000
3.510 2.027 6.119
Al Sn S
4 1 8
Direct
0.000 0.500 0.000 Al
0.500 0.500 0.000 Al
0.500 0.000 0.000 Al
0.000 0.000 0.000 Al
0.500 0.500 0.500 Sn
0.740 0.240 0.779 S
0.760 0.260 0.221 S
0.260 0.760 0.221 S
0.760 0.760 0.221 S
0.737 0.737 0.788 S
0.263 0.263 0.212 S
0.240 0.240 0.779 S
0.240 0.740 0.779 S
```

Electronic total energy, eV per atom: -4.778

***

# 3
Material: AlSnS2
Method: DFT, PBE
State: optimized geometry

Structure (POSCAR):
```
AlSnS2
1.0
6.544 0.000 0.000
0.000 6.544 0.000
3.272 3.272 4.667
S Sn Al
4 2 2
Direct
0.537 0.125 0.250 S
0.213 0.625 0.250 S
0.375 0.463 0.750 S
0.875 0.787 0.750 S
0.000 0.000 0.000 Sn
0.750 0.250 0.500 Sn
0.500 0.500 0.000 Al
0.250 0.750 0.500 Al
```

Electronic total energy, eV per atom: -4.474

***

Values of DOS at the Fermi energy, in order: 4.5; 10.9; 2.6, all in states/eV per cell.